Entry 1:
Below is a relaxed structure of Na2GeRhO4, with properties calculated at the PBE-GGA level.

a b c (Å): 5.843 5.843 6.133
angles (deg): 90.00 90.00 90.00
Space group I-4 (No. 82)
Symmetry-distinct sites (fractional):
Na 0.000 0.000 0.000
Na 0.000 0.500 0.250
Ge 0.000 0.500 0.750
Rh 0.000 0.000 0.500
O 0.153 0.689 0.569

The value obtained for the calculated volume is 13.085 Å³/atom. For the raw formation energy, the calculation gives -1275 meV/atom.

=====

Entry 2:
Below is a relaxed structure of LiYCd5, with properties calculated at the PBE-GGA level.

a b c (Å): 6.017 8.811 6.563
angles (deg): 90.00 90.00 90.00
Space group Cmmm (No. 65)
Symmetry-distinct sites (fractional):
Li 0.000 0.000 0.000
Y 0.000 0.500 0.500
Cd 0.000 0.500 0.000
Cd 0.250 0.250 0.245

The value obtained for the calculated volume is 24.855 Å³/atom. Its formation energy is -0.11 eV per atom.

=====

calculated volume of number 2 (LiYCd5)? 24.855 Å³/atom

=====

The highest calculated volume belongs to which entry? LiYCd5

=====

calculated volume of number 2 (LiYCd5)? 24.855 Å³/atom

=====

Among the records above, which one has the lowest calculated volume? Na2GeRhO4